Entry 1:
VASP calculation (PBE) on Na3CoCl6 after structural relaxation.

## Properties
* volume: 1432 Å³ per cell
* ΔE to the lowest computed polymorph: 0.00 eV/f.u.
* total DFT energy (no corrections): -3.49 eV per atom
* crystal system: trigonal

CIF file:
```
data_Na3CoCl6
_space_group_name_H-M_alt 'R -3'
_space_group_IT_number 148
_space_group_name_Hall '-R 3'
_cell_length_a 11.0917
_cell_length_b 11.0917
_cell_length_c 13.4423
_cell_angle_alpha 90.00
_cell_angle_beta 90.00
_cell_angle_gamma 120.00
loop_
_atom_site_label
_atom_site_type_symbol
_atom_site_fract_x
_atom_site_fract_y
_atom_site_fract_z
Na1 Na 0.0554 0.7855 0.2012
Co1 Co 0.0000 0.0000 0.0000
Co2 Co 0.0000 0.0000 0.5000
Cl1 Cl 0.0185 0.8403 0.4037
Cl2 Cl 0.0386 0.8554 0.9014
```

Entry 2:
VASP calculation (PBE) on Sm7Y3Tm after structural relaxation.

## Properties
* volume: 751 Å³ per cell
* ΔE to the lowest computed polymorph: 1.28 eV/f.u.
* formation energy from the elements: 0.246 eV per atom
* total DFT energy (no corrections): -4.93 eV per atom
* crystal system: monoclinic

CIF file:
```
data_Sm7Y3Tm
_space_group_name_H-M_alt 'C 1 2/m 1'
_space_group_IT_number 12
_space_group_name_Hall '-C 2y'
_cell_length_a 12.783
_cell_length_b 11.265
_cell_length_c 5.869
_cell_angle_alpha 90.00
_cell_angle_beta 117.26
_cell_angle_gamma 90.00
loop_
_atom_site_label
_atom_site_type_symbol
_atom_site_fract_x
_atom_site_fract_y
_atom_site_fract_z
Sm1 Sm 0.000 0.000 0.000
Sm2 Sm 0.193 0.290 0.693
Sm3 Sm 0.212 0.500 0.210
Y1 Y 0.000 0.295 0.000
Y2 Y 0.000 0.500 0.500
Tm1 Tm 0.000 0.000 0.500
```

Entry 3:
VASP calculation (PBE) on Ti2MnBeSb after structural relaxation.

## Properties
* volume: 121 Å³ per cell
* total DFT energy (no corrections): -5.31 eV per atom
* crystal system: tetragonal

CIF file:
```
data_Ti2MnBeSb
_space_group_name_H-M_alt 'P 4/m m m'
_space_group_IT_number 123
_space_group_name_Hall '-P 4 2'
_cell_length_a 5.012
_cell_length_b 5.012
_cell_length_c 4.819
_cell_angle_alpha 90.00
_cell_angle_beta 90.00
_cell_angle_gamma 90.00
loop_
_atom_site_label
_atom_site_type_symbol
_atom_site_fract_x
_atom_site_fract_y
_atom_site_fract_z
Ti1 Ti 0.000 0.500 0.000
Mn1 Mn 0.000 0.000 0.500
Be1 Be 0.500 0.500 0.500
Sb1 Sb 0.000 0.000 0.000
```

Entry 4:
VASP calculation (PBE) on Sb2MoRh after structural relaxation.

## Properties
* volume: 151 Å³ per cell
* total DFT energy (no corrections): -6.45 eV per atom
* crystal system: orthorhombic

CIF file:
```
data_Sb2MoRh
_space_group_name_H-M_alt 'I m m 2'
_space_group_IT_number 44
_space_group_name_Hall 'I 2 -2'
_cell_length_a 3.404
_cell_length_b 4.410
_cell_length_c 10.075
_cell_angle_alpha 90.00
_cell_angle_beta 90.00
_cell_angle_gamma 90.00
loop_
_atom_site_label
_atom_site_type_symbol
_atom_site_fract_x
_atom_site_fract_y
_atom_site_fract_z
Sb1 Sb 0.000 0.000 0.000
Sb2 Sb 0.000 0.500 0.227
Mo1 Mo 0.000 0.000 0.493
Rh1 Rh 0.000 0.500 0.713
```

Entry 5:
VASP calculation (PBE) on TbPm2Pr4Y2 after structural relaxation.

## Properties
* volume: 621 Å³ per cell
* formation energy from the elements: 0.018 eV per atom
* total DFT energy (no corrections): -5.11 eV per atom
* crystal system: monoclinic

CIF file:
```
data_TbPm2Pr4Y2
_space_group_name_H-M_alt 'C 1 2/m 1'
_space_group_IT_number 12
_space_group_name_Hall '-C 2y'
_cell_length_a 15.533
_cell_length_b 5.176
_cell_length_c 8.144
_cell_angle_alpha 90.00
_cell_angle_beta 108.56
_cell_angle_gamma 90.00
loop_
_atom_site_label
_atom_site_type_symbol
_atom_site_fract_x
_atom_site_fract_y
_atom_site_fract_z
Tb1 Tb 0.000 0.000 0.000
Pm1 Pm 0.111 0.000 0.669
Pr1 Pr 0.055 0.500 0.331
Pr2 Pr 0.222 0.000 0.332
Y1 Y 0.167 0.500 0.000
```

Entry 6:
VASP calculation (PBE) on H3Pt after structural relaxation.

## Properties
* volume: 61 Å³ per cell
* ΔE to the lowest computed polymorph: 1.83 eV/f.u.
* total DFT energy (no corrections): -3.57 eV per atom
* crystal system: hexagonal

CIF file:
```
data_H3Pt
_space_group_name_H-M_alt 'P 63/m m c'
_space_group_IT_number 194
_space_group_name_Hall '-P 6c 2c'
_cell_length_a 3.5804
_cell_length_b 3.5804
_cell_length_c 5.4992
_cell_angle_alpha 90.00
_cell_angle_beta 90.00
_cell_angle_gamma 120.00
loop_
_atom_site_label
_atom_site_type_symbol
_atom_site_fract_x
_atom_site_fract_y
_atom_site_fract_z
H1 H 0.1637 0.3274 0.2500
Pt1 Pt 0.3333 0.6667 0.7500
```